Compound: ErGe2Pt
Source: Alexandria via LeMat-Bulk
Functional: PBEsol
Structure: relaxed

Structure (extended XYZ):
```
16
Lattice="4.244 0.000 0.000 0.000 8.644 0.000 -2.122 -4.322 8.126" Properties=species:S:1:pos:R:3 pbc="T T T"
Er 0.000 4.322 3.263
Er 0.000 2.302 0.000
Er 2.122 0.000 4.863
Er 0.000 6.341 0.000
Ge 0.000 -1.295 3.277
Ge 2.122 5.617 4.849
Ge 2.122 3.027 4.849
Ge 0.000 1.295 3.277
Ge 2.122 4.322 1.201
Ge 0.000 4.322 6.933
Ge 2.122 0.000 1.193
Ge 0.000 0.000 6.925
Pt 0.000 2.164 5.734
Pt 2.122 2.158 2.392
Pt 2.122 6.486 2.392
Pt 0.000 -2.164 5.734
```

## Properties
The calculation puts the total DFT energy (no corrections) at -101.417 eV for the cell shown. For the density, the calculation gives 11311 kg/m³.